The following is a DFT calculation (PBE with a Hubbard U) of an optimized crystal structure of Li4Cr3GaO8.

Electronic total energy, eV/atom: -6.593
DOS(E_F), states/eV per atom: 0.000
Total magnetization, μB/cell: 9.00
Space-group type: P-1, No. 2

Lattice parameters (Å, degrees): 5.1362 5.1520 5.9320 106.72 90.01 99.58
Closest atoms and distances in Å follow each position.
Atoms (fractional coordinates):
Li 0.2501 0.0002 0.1250  6 O 2.17-2.18
Li 0.2502 0.0000 0.6251  6 O 2.17-2.18
Li 0.7498 0.0000 0.3749  6 O 2.17-2.18
Li 0.7499 0.9998 0.8750  6 O 2.17-2.18
Cr 0.9999 0.5000 0.2494  6 O 2.03
Cr 0.0001 0.5000 0.7506  6 O 2.03
Cr 0.5000 0.5000 0.5000  6 O 2.03
Ga 0.5000 0.5000 0.0000  6 O 2.03
O 0.1290 0.2759 0.4440  3 Cr 2.03, 3 Li 2.17-2.18
O 0.1300 0.2744 0.9436  1 Ga 2.03, 2 Cr 2.03, 3 Li 2.17
O 0.3713 0.7253 0.3057  1 Ga 2.03, 2 Cr 2.03, 3 Li 2.17
O 0.3714 0.7250 0.8069  1 Ga 2.03, 2 Cr 2.03, 3 Li 2.17-2.18
O 0.6286 0.2750 0.1931  1 Ga 2.03, 2 Cr 2.03, 3 Li 2.17-2.18
O 0.6287 0.2747 0.6943  1 Ga 2.03, 2 Cr 2.03, 3 Li 2.17
O 0.8700 0.7256 0.0564  1 Ga 2.03, 2 Cr 2.03, 3 Li 2.17
O 0.8710 0.7241 0.5560  3 Cr 2.03, 3 Li 2.17-2.18